AcNd2PuBi4 | PBE | optimized geometry

Unit cell a=4.6678 b=8.0999 c=8.0732 alpha=70.59 beta=90.00 gamma=90.00
Closest atoms and distances in Å follow each position.
Atoms (fractional coordinates):
Ac 0.0000 0.5000 0.5000  6 Bi 3.37
Nd 0.0000 0.0000 0.0000  6 Bi 3.23-3.24
Nd 0.5000 0.0000 0.5000  6 Bi 3.32-3.33
Pu 0.5000 0.5000 0.0000  6 Bi 3.28
Bi 0.0000 0.7514 0.7586  3 Nd 3.23-3.33, 2 Pu 3.28, 1 Ac 3.37
Bi 0.0000 0.2486 0.2414  3 Nd 3.23-3.33, 2 Pu 3.28, 1 Ac 3.37
Bi 0.5000 0.7583 0.2382  3 Nd 3.24-3.32, 1 Pu 3.28, 2 Ac 3.37
Bi 0.5000 0.2417 0.7618  3 Nd 3.24-3.32, 1 Pu 3.28, 2 Ac 3.37

* total moment: 5.11 μB per formula unit
* crystal system: monoclinic
* E: -0.457 Ry per atom
* calculated density: 9.2 g/cm³

=====

InIrO2F | PBE | optimized geometry

Unit cell a=4.2283 b=4.2283 c=4.0744 alpha=90.00 beta=90.00 gamma=90.00
Closest atoms and distances in Å follow each position.
Atoms (fractional coordinates):
F 0.0000 0.0000 0.5000  2 In 2.04
Ir 0.5000 0.5000 0.5000  8 O 2.94, 4 F 2.99
O 0.0000 0.5000 0.0000  2 In 2.11
O 0.5000 0.0000 0.0000  2 In 2.11
In 0.0000 0.0000 0.0000  2 F 2.04, 4 O 2.11

* total moment: 3.07 μB per formula unit
* crystal system: tetragonal
* E: -0.345 Ry per atom
* formation energy from raw total energies: -9.3 kJ/mol of formula units
* calculated density: 8.2 g/cm³

=====

ScCdRe2 | PBE | optimized geometry

Unit cell a=9.7227 b=9.7227 c=9.7227 alpha=17.26 beta=17.26 gamma=17.26
Closest atoms and distances in Å follow each position.
Atoms (fractional coordinates):
Cd 0.7465 0.7465 0.7465  6 Cd 2.92, 3 Re 3.03, 3 Sc 3.16
Re 0.9923 0.9923 0.9923  9 Re 2.64-2.92
Re 0.2548 0.2548 0.2548  9 Re 2.64-2.92, 3 Sc 2.89
Sc 0.5064 0.5064 0.5064  3 Re 2.89, 6 Sc 2.92, 3 Cd 3.16

* total moment: 0.00 μB per formula unit
* crystal system: trigonal
* E: -0.577 Ry per atom
* calculated density: 12.5 g/cm³

=====

ReMo3H | PBE | optimized geometry

Unit cell a=4.7553 b=4.7553 c=4.7553 alpha=90.00 beta=90.00 gamma=90.00
Closest atoms and distances in Å follow each position.
Atoms (fractional coordinates):
Re 0.0000 0.0000 0.0000  6 Mo 2.38
Mo 0.0000 0.5000 0.0000  2 Re 2.38
Mo 0.0000 0.0000 0.5000  2 Re 2.38
Mo 0.5000 0.0000 0.0000  2 Re 2.38
H 0.5000 0.5000 0.5000  12 Mo 3.36

* total moment: 0.00 μB per formula unit
* crystal system: cubic
* E: -0.537 Ry per atom
* calculated density: 7.3 g/cm³

=====

Pr2CuAs3Rh4 | PBE | optimized geometry

Unit cell a=4.2414 b=4.2414 c=10.1859 alpha=90.00 beta=90.00 gamma=90.00
Closest atoms and distances in Å follow each position.
Atoms (fractional coordinates):
Pr 0.5000 0.0000 0.2588  8 Rh 3.22-3.38, 2 Cu 3.25, 6 As 3.25
Pr 0.0000 0.5000 0.7412  8 Rh 3.22-3.38, 2 Cu 3.25, 6 As 3.25
Cu 0.5000 0.5000 0.5000  4 Rh 2.48
As 0.0000 0.0000 0.5000  4 Rh 2.48
As 0.5000 0.0000 0.8631  5 Rh 2.41-2.54
As 0.0000 0.5000 0.1369  5 Rh 2.41-2.54
Rh 0.5000 0.5000 0.0000  4 As 2.54
Rh 0.0000 0.0000 0.0000  4 As 2.54
Rh 0.5000 0.0000 0.6268  3 As 2.41-2.48, 2 Cu 2.48
Rh 0.0000 0.5000 0.3732  3 As 2.41-2.48, 2 Cu 2.48

* total moment: 0.00 μB per formula unit
* crystal system: tetragonal
* E: -0.481 Ry per atom
* calculated density: 8.9 g/cm³

=====

Pm7PrDy2 | PBE | optimized geometry

Unit cell a=5.7374 b=9.2336 c=9.2336 alpha=122.25 beta=90.00 gamma=90.00
Closest atoms and distances in Å follow each position.
Atoms (fractional coordinates):
Pm 0.0000 0.7727 0.2273  2 Dy 3.08
Pm 0.0000 0.2273 0.7727  2 Dy 3.08
Pm 0.5000 0.0627 0.2952  2 Pm 3.19-3.43, 2 Dy 3.19-3.32
Pm 0.5000 0.9373 0.7048  2 Pm 3.19-3.43, 2 Dy 3.19-3.32
Pm 0.5000 0.2952 0.0627  2 Pm 3.19-3.43, 2 Dy 3.19-3.32
Pm 0.5000 0.7048 0.9373  2 Pm 3.19-3.43, 2 Dy 3.19-3.32
Pm 0.5000 0.5000 0.5000  2 Dy 3.30, 4 Pm 3.43
Pr 0.0000 0.0000 0.0000  10 Pm 3.68-3.78
Dy 0.5000 0.7038 0.2962  7 Pm 3.08-3.32
Dy 0.5000 0.2962 0.7038  7 Pm 3.08-3.32

* total moment: 0.00 μB per formula unit
* crystal system: orthorhombic
* E: -0.300 Ry per atom
* calculated density: 5.9 g/cm³

=====

Sb2PbW | PBE | optimized geometry

Unit cell a=5.1770 b=5.1770 c=3.5933 alpha=90.00 beta=90.00 gamma=103.52
Closest atoms and distances in Å follow each position.
Atoms (fractional coordinates):
Pb 0.0000 0.5000 0.5000  8 Sb 3.15, 2 W 3.20
Sb 0.0000 0.0000 0.0000  4 W 3.15, 4 Pb 3.15, 2 Sb 3.20
Sb 0.5000 0.5000 0.0000  4 Pb 3.15, 4 W 3.15, 2 Sb 3.20
W 0.5000 0.0000 0.5000  8 Sb 3.15, 2 Pb 3.20

* total moment: 0.85 μB per formula unit
* crystal system: orthorhombic
* E: -0.392 Ry per atom
* formation energy from raw total energies: 343.9 kJ/mol of formula units
* calculated density: 11.3 g/cm³

=====

Er2Ag3SnTe6 | PBE | optimized geometry

Unit cell a=4.3356 b=8.5152 c=9.8571 alpha=101.36 beta=102.70 gamma=90.00
Closest atoms and distances in Å follow each position.
Atoms (fractional coordinates):
Er 0.8357 0.6602 0.6715  6 Te 3.07-3.11
Er 0.1643 0.3398 0.3285  6 Te 3.07-3.11
Ag 0.5000 0.5000 0.0000  6 Te 2.96-3.24
Ag 0.8310 0.1576 0.6619  6 Te 3.00-3.18
Ag 0.1690 0.8424 0.3381  6 Te 3.00-3.18
Sn 0.5000 0.0000 0.0000  6 Te 3.12-3.13
Te 0.3337 0.9155 0.6674  3 Ag 3.00-3.10, 2 Er 3.08, 1 Sn 3.13
Te 0.6720 0.5974 0.3440  3 Ag 3.02-3.24, 3 Er 3.07-3.09
Te 0.6663 0.0845 0.3326  3 Ag 3.00-3.10, 2 Er 3.08, 1 Sn 3.13
Te 0.9992 0.2635 0.9985  3 Ag 2.96-3.18, 1 Er 3.11, 2 Sn 3.12
Te 0.0008 0.7365 0.0015  3 Ag 2.96-3.18, 1 Er 3.11, 2 Sn 3.12
Te 0.3280 0.4026 0.6560  3 Ag 3.02-3.24, 3 Er 3.07-3.09

* total moment: 0.00 μB per formula unit
* crystal system: monoclinic
* E: -0.291 Ry per atom
* formation energy from raw total energies: -678.4 kJ/mol of formula units
* calculated density: 7.4 g/cm³

=====

NaRu | PBE | optimized geometry

Unit cell a=10.6559 b=10.6559 c=2.7310 alpha=90.00 beta=90.00 gamma=90.00
Closest atoms and distances in Å follow each position.
Atoms (fractional coordinates):
Na 0.7358 0.7358 0.5000  2 Na 2.73, 6 Ru 2.97-2.98
Na 0.7358 0.2642 0.5000  2 Na 2.73, 6 Ru 2.97-2.98
Na 0.2642 0.7358 0.5000  2 Na 2.73, 6 Ru 2.97-2.98
Na 0.2642 0.2642 0.5000  2 Na 2.73, 6 Ru 2.97-2.98
Na 0.7371 0.0000 0.0000  2 Na 2.73
Na 0.2629 0.0000 0.0000  2 Na 2.73
Na 0.0000 0.2629 0.0000  2 Na 2.73
Na 0.0000 0.7371 0.0000  2 Na 2.73
Ru 0.8868 0.5000 0.5000  1 Ru 2.41
Ru 0.1132 0.5000 0.5000  1 Ru 2.41
Ru 0.5000 0.1132 0.5000  1 Ru 2.41
Ru 0.5000 0.8868 0.5000  1 Ru 2.41
Ru 0.6596 0.5000 0.0000  2 Ru 2.41
Ru 0.3404 0.5000 0.0000  2 Ru 2.41
Ru 0.5000 0.3404 0.0000  2 Ru 2.41
Ru 0.5000 0.6596 0.0000  2 Ru 2.41

* total moment: 0.00 μB per formula unit
* crystal system: tetragonal
* E: -0.346 Ry per atom
* calculated density: 5.3 g/cm³